<1>
Material: NaPtBr
Method: DFT, PBE
State: relaxed

Total magnetization: 0.35 μB/cell
Calculated volume: 165.8 Å³/cell

```
data_NaPtBr
_symmetry_space_group_name_H-M 'P 1'
_symmetry_Int_Tables_number 1
_symmetry_space_group_name_Hall 'P 1'
_cell_length_a 4.961
_cell_length_b 5.876
_cell_length_c 5.930
_cell_angle_alpha 90.86
_cell_angle_beta 99.44
_cell_angle_gamma 103.11
loop_
_atom_site_label
_atom_site_type_symbol
_atom_site_fract_x
_atom_site_fract_y
_atom_site_fract_z
Na1 Na 0.000 0.000 0.000
Na2 Na 0.231 0.511 0.525
Pt1 Pt 0.090 0.987 0.512
Pt2 Pt 0.597 0.057 0.447
Br1 Br 0.456 0.753 0.133
Br2 Br 0.739 0.363 0.760
```

***

<2>
Material: NaPtBr
Method: DFT, PBE
State: relaxed

Total magnetization: 0.00 μB/cell
Calculated volume: 203.5 Å³/cell

```
data_NaPtBr
_symmetry_space_group_name_H-M 'P 63/m m c'
_symmetry_Int_Tables_number 194
_symmetry_space_group_name_Hall '-P 6c 2c'
_cell_length_a 4.9494
_cell_length_b 4.9494
_cell_length_c 9.5936
_cell_angle_alpha 90.00
_cell_angle_beta 90.00
_cell_angle_gamma 120.00
loop_
_atom_site_label
_atom_site_type_symbol
_atom_site_fract_x
_atom_site_fract_y
_atom_site_fract_z
Na1 Na 0.3333 0.6667 0.2500
Pt1 Pt 0.0000 0.0000 0.0000
Br1 Br 0.0000 0.0000 0.2500
```

***

<3>
Material: NaPtBr
Method: DFT, PBE
State: relaxed

Total magnetization: 0.00 μB/cell
Calculated volume: 141.2 Å³/cell

```
data_NaPtBr
_symmetry_space_group_name_H-M 'P 63/m m c'
_symmetry_Int_Tables_number 194
_symmetry_space_group_name_Hall '-P 6c 2c'
_cell_length_a 4.4081
_cell_length_b 4.4081
_cell_length_c 8.3909
_cell_angle_alpha 90.00
_cell_angle_beta 90.00
_cell_angle_gamma 120.00
loop_
_atom_site_label
_atom_site_type_symbol
_atom_site_fract_x
_atom_site_fract_y
_atom_site_fract_z
Na1 Na 0.0000 0.0000 0.0000
Pt1 Pt 0.3333 0.6667 0.2500
Br1 Br 0.3333 0.6667 0.7500
```

***

<4>
Material: NaPtBr
Method: DFT, PBE
State: relaxed

Total magnetization: 0.00 μB/cell
Calculated volume: 160.3 Å³/cell

```
data_NaPtBr
_symmetry_space_group_name_H-M 'P 1'
_symmetry_Int_Tables_number 1
_symmetry_space_group_name_Hall 'P 1'
_cell_length_a 3.923
_cell_length_b 5.978
_cell_length_c 7.570
_cell_angle_alpha 72.62
_cell_angle_beta 84.84
_cell_angle_gamma 71.11
loop_
_atom_site_label
_atom_site_type_symbol
_atom_site_fract_x
_atom_site_fract_y
_atom_site_fract_z
Na1 Na 0.000 0.000 0.000
Na2 Na 0.266 0.470 0.995
Pt1 Pt 0.452 0.980 0.311
Pt2 Pt 0.811 0.265 0.309
Br1 Br 0.279 0.596 0.372
Br2 Br 0.630 0.814 0.800
```

***

Out of the structures above, which one is the least stable? Solution: <2>.